DFT (PBE+U) results for a relaxed RbFe2MoO crystal.

Computed properties:
magnetization: 1.91 μB per atom
DOS(E_F): 3.1 states/eV per cell
electronic total energy: -20.14 eV per formula unit
symmetry: No. 123

a = 4.978 Å, b = 4.978 Å, c = 4.307 Å
α = 90.00°, β = 90.00°, γ = 90.00°
Positions (direct):
Rb: 0.000 0.000 0.000
Fe: 0.000 0.500 0.500
Fe: 0.500 0.000 0.500
Mo: 0.500 0.500 0.000
O: 0.500 0.500 0.500